[1]
A plane-wave DFT calculation with PBE-GGA was carried out for a relaxed Sc2AsW2 crystal.

Its density of states at the Fermi level is 3.43 states/eV/f.u. The total energy is -8.551 eV/atom. The formation enthalpy at 0 K is 93.0 meV per atom. The value obtained for the polymorph energy (0 for the lowest one) is 0.00 eV per formula unit. The calculation puts the total magnetization at 0.000 Bohr magnetons per cell.

It has space group I4/mmm (No. 139), with a = 3.573 Å, b = 3.573 Å, c = 16.218 Å, α = 90.00°, β = 90.00° and γ = 90.00°. The distinct sites, in fractional coordinates, are Sc at (0.000, 0.000, 0.097), As at (0.000, 0.000, 0.500) and W at (0.000, 0.500, 0.250).

=====

[2]
A plane-wave DFT calculation with PBE-GGA was carried out for a relaxed Zr2GeOs crystal.

Its density of states at the Fermi level is 3.76 states/eV/f.u. The total energy is -8.164 eV/atom. The formation enthalpy at 0 K is 72.0 meV per atom. The calculation puts the total magnetization at 0.000 Bohr magnetons per cell.

It has space group I-42d (No. 122), with a = 7.325 Å, b = 7.325 Å, c = 6.031 Å, α = 90.00°, β = 90.00° and γ = 90.00°. The distinct sites, in fractional coordinates, are Zr at (0.232, 0.250, 0.125), Ge at (0.000, 0.000, 0.500) and Os at (0.000, 0.000, 0.000).

=====

[3]
A plane-wave DFT calculation with PBE-GGA was carried out for a relaxed La2PrSnO crystal.

Its density of states at the Fermi level is 4.26 states/eV/f.u. Its formation energy (no corrections) is -1514 meV/atom. The total energy is -6.233 eV/atom. The calculation puts the total magnetization at 0.000 Bohr magnetons per cell.

It has space group P4/mmm (No. 123), with a = 5.040 Å, b = 5.040 Å, c = 5.071 Å, α = 90.00°, β = 90.00° and γ = 90.00°. The distinct sites, in fractional coordinates, are La at (0.000, 0.500, 0.000), Pr at (0.000, 0.000, 0.500), Sn at (0.500, 0.500, 0.500) and O at (0.000, 0.000, 0.000).

=====

[4]
A plane-wave DFT calculation with PBE-GGA was carried out for a relaxed Cs2ScTl crystal.

Its density of states at the Fermi level is 7.19 states/eV/f.u. The total energy is -1.933 eV/atom. The formation enthalpy at 0 K is 667.8 meV per atom. The value obtained for the polymorph energy (0 for the lowest one) is 0.96 eV per formula unit. The calculation puts the total magnetization at 5.157 Bohr magnetons per cell.

It has space group Fm-3m (No. 225), with a = 9.269 Å, b = 9.269 Å, c = 9.269 Å, α = 90.00°, β = 90.00° and γ = 90.00°. The distinct sites, in fractional coordinates, are Cs at (0.250, 0.250, 0.250), Sc at (0.000, 0.000, 0.000) and Tl at (0.000, 0.000, 0.500).

=====

[5]
A plane-wave DFT calculation with PBE-GGA was carried out for a relaxed LuGeRu2 crystal.

Its density of states at the Fermi level is 2.15 states/eV/f.u. The total energy is -7.359 eV/atom. The formation enthalpy at 0 K is -436.2 meV per atom. The calculation puts the total magnetization at 0.000 Bohr magnetons per cell.

It has space group P4/mmm (No. 123), with a = 4.410 Å, b = 4.410 Å, c = 3.271 Å, α = 90.00°, β = 90.00° and γ = 90.00°. The distinct sites, in fractional coordinates, are Lu at (0.000, 0.000, 0.000), Ge at (0.500, 0.500, 0.000) and Ru at (0.000, 0.500, 0.500).

=====

[6]
A plane-wave DFT calculation with PBE-GGA was carried out for a relaxed LiAc2Hf crystal.

Its density of states at the Fermi level is 4.08 states/eV/f.u. The total energy is -4.435 eV/atom. The formation enthalpy at 0 K is 586.1 meV per atom. The calculation puts the total magnetization at 0.000 Bohr magnetons per cell.

It has space group R-3m (No. 166, hexagonal axes), with a = 3.5271 Å, b = 3.5271 Å, c = 36.9845 Å, α = 90.00°, β = 90.00° and γ = 120.00°. The distinct sites, in fractional coordinates, are Li at (0.0000, 0.0000, 0.0000), Ac at (0.0000, 0.0000, 0.4145) and Hf at (0.0000, 0.0000, 0.5000).

=====

[7]
A plane-wave DFT calculation with PBE-GGA was carried out for a relaxed Li2ThP2 crystal.

Its density of states at the Fermi level is 1.66 states/eV/f.u. The total energy is -5.340 eV/atom. The formation enthalpy at 0 K is -926.8 meV per atom. The calculation puts the total magnetization at 0.000 Bohr magnetons per cell.

It has space group I4/mmm (No. 139), with a = 3.866 Å, b = 3.866 Å, c = 11.732 Å, α = 90.00°, β = 90.00° and γ = 90.00°. The distinct sites, in fractional coordinates, are Li at (0.000, 0.500, 0.250), Th at (0.000, 0.000, 0.000) and P at (0.000, 0.000, 0.383).

=====

[8]
A plane-wave DFT calculation with PBE-GGA was carried out for a relaxed SrCdRh crystal.

Its density of states at the Fermi level is 1.39 states/eV/f.u. The total energy is -3.641 eV/atom. The formation enthalpy at 0 K is -324.7 meV per atom. The calculation puts the total magnetization at 0.000 Bohr magnetons per cell.

It has space group P2_1/c (No. 14), with a = 6.606 Å, b = 5.893 Å, c = 8.251 Å, α = 90.00°, β = 111.42° and γ = 90.00°. The distinct sites, in fractional coordinates, are Sr at (0.174, 0.105, 0.373), Cd at (0.413, 0.608, 0.303) and Rh at (0.184, 0.600, 0.532).

=====

[9]
A plane-wave DFT calculation with PBE-GGA was carried out for a relaxed ScZnN crystal.

Its density of states at the Fermi level is 0.64 states/eV/f.u. Its formation energy (no corrections) is -851 meV/atom. The total energy is -6.161 eV/atom. The value obtained for the polymorph energy (0 for the lowest one) is 0.87 eV per formula unit. The calculation puts the total magnetization at 0.000 Bohr magnetons per cell.

It has space group P2/m (No. 10), with a = 5.154 Å, b = 3.011 Å, c = 5.477 Å, α = 90.00°, β = 92.81° and γ = 90.00°. The distinct sites, in fractional coordinates, are Sc at (0.154, 0.000, 0.258), Zn at (0.335, 0.500, 0.768), N at (0.000, 0.500, 0.000) and N at (0.000, 0.500, 0.500).

=====

[10]
A plane-wave DFT calculation with PBE-GGA was carried out for a relaxed PaH3 crystal.

Its density of states at the Fermi level is 3.52 states/eV/f.u. The total energy is -5.273 eV/atom. The value obtained for the polymorph energy (0 for the lowest one) is 0.00 eV per formula unit. The calculation puts the total magnetization at 4.668 Bohr magnetons per cell.

It has space group Pm-3n (No. 223), with a = 6.603 Å, b = 6.603 Å, c = 6.603 Å, α = 90.00°, β = 90.00° and γ = 90.00°. The distinct sites, in fractional coordinates, are Pa at (0.000, 0.000, 0.000), Pa at (0.000, 0.250, 0.500) and H at (0.000, 0.306, 0.155).

=====

[11]
A plane-wave DFT calculation with PBE-GGA was carried out for a relaxed Er3Mg5Ag2 crystal.

Its density of states at the Fermi level is 7.11 states/eV/f.u. The total energy is -2.753 eV/atom. The formation enthalpy at 0 K is -16.5 meV per atom. The calculation puts the total magnetization at 0.000 Bohr magnetons per cell.

It has space group Ibam (No. 72), with a = 12.611 Å, b = 12.675 Å, c = 6.242 Å, α = 90.00°, β = 90.00° and γ = 90.00°. The distinct sites, in fractional coordinates, are Er at (0.000, 0.000, 0.250), Er at (0.240, 0.146, 0.000), Mg at (0.000, 0.264, 0.250), Mg at (0.000, 0.500, 0.250), Mg at (0.164, 0.401, 0.000) and Ag at (0.136, 0.144, 0.500).

=====

[12]
A plane-wave DFT calculation with PBE-GGA was carried out for a relaxed Ce4HPb2 crystal.

Its density of states at the Fermi level is 21.30 states/eV/f.u. The total energy is -5.296 eV/atom. The value obtained for the polymorph energy (0 for the lowest one) is 0.00 eV per formula unit. The calculation puts the total magnetization at 7.761 Bohr magnetons per cell.

It has space group P2_1/m (No. 11), with a = 5.995 Å, b = 6.677 Å, c = 9.294 Å, α = 90.00°, β = 99.18° and γ = 90.00°. The distinct sites, in fractional coordinates, are Ce at (0.183, 0.250, 0.059), Ce at (0.196, 0.750, 0.373), Ce at (0.295, 0.542, 0.728), H at (0.131, 0.250, 0.798), Pb at (0.241, 0.250, 0.419) and Pb at (0.336, 0.750, 0.059).

=====

[13]
A plane-wave DFT calculation with PBE-GGA was carried out for a relaxed LaTeBrN2 crystal.

Its density of states at the Fermi level is 5.29 states/eV/f.u. Its formation energy (no corrections) is 727 meV/atom. The total energy is -4.551 eV/atom. The value obtained for the polymorph energy (0 for the lowest one) is 0.00 eV per formula unit. The calculation puts the total magnetization at 0.010 Bohr magnetons per cell.

It has space group P4/mmm (No. 123), with a = 4.322 Å, b = 4.322 Å, c = 7.241 Å, α = 90.00°, β = 90.00° and γ = 90.00°. The distinct sites, in fractional coordinates, are La at (0.000, 0.000, 0.000), Te at (0.000, 0.000, 0.500), Br at (0.500, 0.500, 0.500) and N at (0.000, 0.500, 0.000).

=====

[14]
A plane-wave DFT calculation with PBE-GGA was carried out for a relaxed AgWSe crystal.

Its density of states at the Fermi level is 1.29 states/eV/f.u. Its formation energy (no corrections) is 223 meV/atom. The total energy is -6.206 eV/atom. The value obtained for the polymorph energy (0 for the lowest one) is 0.00 eV per formula unit. The calculation puts the total magnetization at 0.000 Bohr magnetons per cell.

It has space group P3m1 (No. 156), with a = 3.0715 Å, b = 3.0715 Å, c = 7.0061 Å, α = 90.00°, β = 90.00° and γ = 120.00°. The distinct sites, in fractional coordinates, are Ag at (0.0000, 0.0000, 0.0000), W at (0.6667, 0.3333, 0.6652) and Se at (0.3333, 0.6667, 0.4137).

=====

[15]
A plane-wave DFT calculation with PBE-GGA was carried out for a relaxed AgSb2P crystal.

Its density of states at the Fermi level is 2.23 states/eV/f.u. Its formation energy (no corrections) is 382 meV/atom. The total energy is -3.745 eV/atom. The calculation puts the total magnetization at 0.000 Bohr magnetons per cell.

It has space group Cmm2 (No. 35), with a = 3.580 Å, b = 5.435 Å, c = 9.394 Å, α = 90.00°, β = 90.00° and γ = 90.00°. The distinct sites, in fractional coordinates, are Ag at (0.000, 0.000, 0.000), Sb at (0.000, 0.000, 0.573), Sb at (0.000, 0.500, 0.249) and P at (0.000, 0.500, 0.786).

=====

[16]
A plane-wave DFT calculation with PBE-GGA was carried out for a relaxed NbOsIO2 crystal.

Its density of states at the Fermi level is 5.14 states/eV/f.u. Its formation energy (no corrections) is -209 meV/atom. The total energy is -6.762 eV/atom. The value obtained for the polymorph energy (0 for the lowest one) is 0.00 eV per formula unit. The calculation puts the total magnetization at 1.626 Bohr magnetons per cell.

It has space group P4/mmm (No. 123), with a = 3.913 Å, b = 3.913 Å, c = 6.201 Å, α = 90.00°, β = 90.00° and γ = 90.00°. The distinct sites, in fractional coordinates, are Nb at (0.000, 0.000, 0.000), Os at (0.500, 0.500, 0.500), I at (0.000, 0.000, 0.500) and O at (0.000, 0.500, 0.000).

=====

[17]
A plane-wave DFT calculation with PBE-GGA was carried out for a relaxed AcSn5 crystal.

Its density of states at the Fermi level is 2.36 states/eV/f.u. The total energy is -4.359 eV/atom. The formation enthalpy at 0 K is -339.0 meV per atom. The value obtained for the polymorph energy (0 for the lowest one) is 0.00 eV per formula unit. The calculation puts the total magnetization at 0.000 Bohr magnetons per cell.

It has space group Immm (No. 71), with a = 4.636 Å, b = 7.043 Å, c = 10.958 Å, α = 90.00°, β = 90.00° and γ = 90.00°. The distinct sites, in fractional coordinates, are Ac at (0.000, 0.000, 0.000), Sn at (0.000, 0.211, 0.335) and Sn at (0.000, 0.500, 0.000).

=====

[18]
A plane-wave DFT calculation with PBE-GGA was carried out for a relaxed LaGeBi2 crystal.

Its density of states at the Fermi level is 2.07 states/eV/f.u. The total energy is -4.793 eV/atom. The formation enthalpy at 0 K is -466.4 meV per atom. The calculation puts the total magnetization at 0.000 Bohr magnetons per cell.

It has space group P4/mmm (No. 123), with a = 4.813 Å, b = 4.813 Å, c = 4.923 Å, α = 90.00°, β = 90.00° and γ = 90.00°. The distinct sites, in fractional coordinates, are La at (0.000, 0.000, 0.000), Ge at (0.500, 0.500, 0.000) and Bi at (0.000, 0.500, 0.500).

=====

[19]
A plane-wave DFT calculation with PBE-GGA was carried out for a relaxed AlHF crystal.

Its density of states at the Fermi level is 0.00 states/eV/f.u. The total energy is -4.312 eV/atom. The value obtained for the polymorph energy (0 for the lowest one) is 0.30 eV per formula unit. The calculation puts the total magnetization at 0.000 Bohr magnetons per cell.

It has space group C2/m (No. 12), with a = 8.186 Å, b = 3.860 Å, c = 4.969 Å, α = 90.00°, β = 120.69° and γ = 90.00°. The distinct sites, in fractional coordinates, are Al at (0.063, 0.000, 0.310), H at (0.152, 0.000, 0.057) and F at (0.134, 0.500, 0.348).

=====

[20]
A plane-wave DFT calculation with PBE-GGA was carried out for a relaxed BeInRe2 crystal.

Its density of states at the Fermi level is 4.41 states/eV/f.u. The total energy is -7.040 eV/atom. The formation enthalpy at 0 K is 800.2 meV per atom. The value obtained for the polymorph energy (0 for the lowest one) is 2.85 eV per formula unit. The calculation puts the total magnetization at 0.000 Bohr magnetons per cell.

It has space group Fm-3m (No. 225), with a = 6.198 Å, b = 6.198 Å, c = 6.198 Å, α = 90.00°, β = 90.00° and γ = 90.00°. The distinct sites, in fractional coordinates, are Be at (0.000, 0.000, 0.000), In at (0.000, 0.000, 0.500) and Re at (0.250, 0.250, 0.250).